1.
Co2MoBr: optimized geometry, GGA-PBEsol.

POSCAR file:
```
Co2MoBr
1.0
1.436 0.829 7.943
-1.436 0.829 7.943
0.000 -1.658 7.943
Co Mo Br
2 1 1
Direct
0.000 0.000 0.000 Co
0.261 0.261 0.261 Co
0.510 0.510 0.510 Mo
0.758 0.758 0.758 Br
```

Values from the calculation:
The calculation puts the formation energy without anion corrections at 0.6103 eV per atom. The excess energy over the best structure of this formula in the dataset comes out at 0.1694 eV per atom. The calculation puts the spin magnetization at 3.2 μB per formula unit. The calculated density is 8.6 g/cm3. Its energy is -6.668 eV per atom.

2.
Co2MoBr: optimized geometry, GGA-PBEsol.

POSCAR file:
```
Co2MoBr
1.0
2.577 -4.247 0.000
2.577 4.247 0.000
-1.401 0.000 2.458
Co Mo Br
2 1 1
Direct
0.000 0.500 0.000 Co
0.500 0.000 0.000 Co
0.000 0.000 0.500 Mo
0.500 0.500 0.500 Br
```

Values from the calculation:
The calculation puts the formation energy without anion corrections at 0.8367 eV per atom. The excess energy over the best structure of this formula in the dataset comes out at 0.3957 eV per atom. The calculation puts the spin magnetization at 2.0 μB per formula unit. The calculated density is 9.1 g/cm3. Its energy is -6.441 eV per atom.